Entry from Alexandria: crystalline NdZn3P3 at its relaxed geometry (PBE-GGA).

Calculated values
As for the total energy: -4.09 eV per atom. The value obtained for the formation energy is -0.541 eV per atom. Its space-group type is P6_3/m, No. 176. The offset from the most stable computed form comes out at 47 meV/atom. The value obtained for the volume is 22.682 Å³ per atom. The mass density is 4.53 g/cm³. As for the total moment: 0.000 Bohr magnetons per cell.

abc: 9.647 9.647 3.940
angles: 90.00 90.00 120.00
Sites, in units of the cell vectors:
Nd 0.333 0.667 0.250
Nd 0.667 0.333 0.750
Zn 0.040 0.369 0.750
Zn 0.329 0.960 0.750
Zn 0.369 0.329 0.250
Zn 0.631 0.671 0.750
Zn 0.671 0.040 0.250
Zn 0.960 0.631 0.250
P 0.115 0.693 0.750
P 0.307 0.421 0.750
P 0.421 0.115 0.250
P 0.579 0.885 0.750
P 0.693 0.579 0.250
P 0.885 0.307 0.250

***

Entry from Alexandria: crystalline TbNd5Y2Th at its relaxed geometry (PBE-GGA).

Calculated values
As for the total energy: -5.27 eV per atom. The value obtained for the formation energy is 0.153 eV per atom. Its space-group type is Cmc2_1, No. 36. The value obtained for the volume is 34.672 Å³ per atom. The mass density is 6.86 g/cm³. As for the total moment: 0.000 Bohr magnetons per cell.

abc: 10.681 10.681 10.649
angles: 90.00 90.00 149.09
Sites, in units of the cell vectors:
Tb 0.094 0.906 0.500
Tb 0.906 0.094 0.000
Nd 0.019 0.981 0.787
Nd 0.112 0.888 0.068
Nd 0.208 0.792 0.745
Nd 0.222 0.778 0.353
Nd 0.485 0.515 0.062
Nd 0.515 0.485 0.562
Nd 0.778 0.222 0.853
Nd 0.792 0.208 0.245
Nd 0.888 0.112 0.568
Nd 0.981 0.019 0.287
Y 0.384 0.616 0.356
Y 0.388 0.612 0.779
Y 0.612 0.388 0.279
Y 0.616 0.384 0.856
Th 0.299 0.701 0.052
Th 0.701 0.299 0.552

***

Entry from Alexandria: crystalline LiNbS2Cl at its relaxed geometry (PBE-GGA).

Calculated values
As for the total energy: -4.30 eV per atom. For the raw formation energy, the calculation gives 0.1196 eV per atom. Its space-group type is P4/mmm, No. 123. The offset from the most stable computed form comes out at 924 meV/atom. The value obtained for the volume is 17.211 Å³ per atom. The mass density is 3.85 g/cm³. As for the total moment: 1.479 Bohr magnetons per cell.

abc: 4.474 4.474 4.299
angles: 90.00 90.00 90.00
Sites, in units of the cell vectors:
Li 0.000 0.000 0.000
Nb 0.500 0.500 0.500
S 0.000 0.500 0.000
S 0.500 0.000 0.000
Cl 0.000 0.000 0.500

***

Entry from Alexandria: crystalline TeSeBr3 at its relaxed geometry (PBE-GGA).

Calculated values
As for the total energy: -2.04 eV per atom. For the raw formation energy, the calculation gives 0.2853 eV per atom. Its space-group type is Pm-3m, No. 221. The offset from the most stable computed form comes out at 548 meV/atom. The value obtained for the volume is 35.846 Å³ per atom. The mass density is 4.13 g/cm³. As for the total moment: 2.315 Bohr magnetons per cell.

abc: 5.638 5.638 5.638
angles: 90.00 90.00 90.00
Sites, in units of the cell vectors:
Te 0.000 0.000 0.000
Se 0.500 0.500 0.500
Br 0.000 0.000 0.500
Br 0.000 0.500 0.000
Br 0.500 0.000 0.000

***

Entry from Alexandria: crystalline Ca2Al6Au21 at its relaxed geometry (PBE-GGA).

Calculated values
As for the total energy: -3.57 eV per atom. The value obtained for the formation energy is -0.284 eV per atom. Its space-group type is Fm-3m, No. 225. The value obtained for the volume is 18.955 Å³ per atom. The mass density is 13.23 g/cm³. As for the total moment: 0.000 Bohr magnetons per cell.

abc: 9.195 9.195 9.195
angles: 60.00 60.00 60.00
Sites, in units of the cell vectors:
Ca 0.250 0.250 0.250
Ca 0.750 0.750 0.750
Al 0.234 0.234 0.766
Al 0.234 0.766 0.234
Al 0.234 0.766 0.766
Al 0.766 0.234 0.234
Al 0.766 0.234 0.766
Al 0.766 0.766 0.234
Au 0.117 0.117 0.117
Au 0.117 0.117 0.650
Au 0.117 0.650 0.117
Au 0.154 0.500 0.500
Au 0.154 0.500 0.846
Au 0.154 0.846 0.500
Au 0.350 0.883 0.883
Au 0.500 0.154 0.500
Au 0.500 0.154 0.846
Au 0.500 0.500 0.154
Au 0.500 0.500 0.500
Au 0.500 0.500 0.846
Au 0.500 0.846 0.154
Au 0.500 0.846 0.500
Au 0.650 0.117 0.117
Au 0.846 0.154 0.500
Au 0.846 0.500 0.154
Au 0.846 0.500 0.500
Au 0.883 0.350 0.883
Au 0.883 0.883 0.350
Au 0.883 0.883 0.883

***

Entry from Alexandria: crystalline YZnIrRu at its relaxed geometry (PBE-GGA).

Calculated values
As for the total energy: -6.78 eV per atom. The value obtained for the formation energy is -0.314 eV per atom. Its space-group type is R3m, No. 160. The offset from the most stable computed form comes out at 0 meV/atom. The value obtained for the volume is 19.263 Å³ per atom. The mass density is 9.65 g/cm³. As for the total moment: 0.002 Bohr magnetons per cell.

abc: 4.376 4.376 13.934
angles: 90.00 90.00 120.00
Sites, in units of the cell vectors:
Y 0.000 0.000 0.000
Y 0.333 0.667 0.667
Y 0.667 0.333 0.333
Zn 0.000 0.000 0.793
Zn 0.333 0.667 0.460
Zn 0.667 0.333 0.127
Ir 0.000 0.000 0.203
Ir 0.333 0.667 0.869
Ir 0.667 0.333 0.536
Ru 0.000 0.000 0.540
Ru 0.333 0.667 0.207
Ru 0.667 0.333 0.873

***

Entry from Alexandria: crystalline Er4SbPb2 at its relaxed geometry (PBE-GGA).

Calculated values
As for the total energy: -4.74 eV per atom. For the raw formation energy, the calculation gives -0.4844 eV per atom. Its space-group type is P2_1/m, No. 11. The value obtained for the volume is 28.911 Å³ per atom. The mass density is 9.89 g/cm³. As for the total moment: 0.000 Bohr magnetons per cell.

abc: 6.137 6.524 10.248
angles: 90.00 99.44 90.00
Sites, in units of the cell vectors:
Er 0.028 0.250 0.160
Er 0.135 0.750 0.449
Er 0.429 0.004 0.731
Er 0.429 0.496 0.731
Er 0.571 0.504 0.269
Er 0.571 0.996 0.269
Er 0.865 0.250 0.551
Er 0.972 0.750 0.840
Sb 0.054 0.750 0.157
Sb 0.946 0.250 0.843
Pb 0.311 0.250 0.457
Pb 0.486 0.250 0.006
Pb 0.514 0.750 0.994
Pb 0.689 0.750 0.543

***

Entry from Alexandria: crystalline LiAcTbEu at its relaxed geometry (PBE-GGA).

Calculated values
As for the total energy: -4.99 eV per atom. The value obtained for the formation energy is 0.245 eV per atom. Its space-group type is F-43m, No. 216. The value obtained for the volume is 35.563 Å³ per atom. The mass density is 6.36 g/cm³. As for the total moment: 29.090 Bohr magnetons per cell.

abc: 8.287 8.287 8.287
angles: 90.00 90.00 90.00
Sites, in units of the cell vectors:
Li 0.000 0.000 0.000
Li 0.000 0.500 0.500
Li 0.500 0.000 0.500
Li 0.500 0.500 0.000
Ac 0.000 0.000 0.500
Ac 0.000 0.500 0.000
Ac 0.500 0.000 0.000
Ac 0.500 0.500 0.500
Tb 0.250 0.250 0.750
Tb 0.250 0.750 0.250
Tb 0.750 0.250 0.250
Tb 0.750 0.750 0.750
Eu 0.250 0.250 0.250
Eu 0.250 0.750 0.750
Eu 0.750 0.250 0.750
Eu 0.750 0.750 0.250

***

Entry from Alexandria: crystalline ZnSbW2 at its relaxed geometry (PBE-GGA).

Calculated values
As for the total energy: -7.21 eV per atom. For the raw formation energy, the calculation gives 0.6154 eV per atom. Its space-group type is Pmmm, No. 47. The offset from the most stable computed form comes out at 299 meV/atom. The value obtained for the volume is 17.158 Å³ per atom. The mass density is 13.42 g/cm³. As for the total moment: 0.000 Bohr magnetons per cell.

abc: 3.277 4.505 4.649
angles: 90.00 90.00 90.00
Sites, in units of the cell vectors:
Zn 0.000 0.000 0.000
Sb 0.500 0.000 0.500
W 0.000 0.500 0.500
W 0.500 0.500 0.000

***

Entry from Alexandria: crystalline Hg2PbBr at its relaxed geometry (PBE-GGA).

Calculated values
As for the total energy: -1.67 eV per atom. For the raw formation energy, the calculation gives -0.1770 eV per atom. Its space-group type is C2/m, No. 12. The offset from the most stable computed form comes out at 34 meV/atom. The value obtained for the volume is 30.188 Å³ per atom. The mass density is 9.47 g/cm³. As for the total moment: 0.000 Bohr magnetons per cell.

abc: 6.188 11.897 3.976
angles: 90.00 124.40 90.00
Sites, in units of the cell vectors:
Hg 0.250 0.250 0.000
Hg 0.250 0.750 0.000
Hg 0.750 0.250 0.000
Hg 0.750 0.750 0.000
Pb 0.000 0.000 0.500
Pb 0.500 0.500 0.500
Br 0.000 0.500 0.500
Br 0.500 0.000 0.500

***

Entry from Alexandria: crystalline Y2AgS4 at its relaxed geometry (PBE-GGA).

Calculated values
As for the total energy: -6.01 eV per atom. For the raw formation energy, the calculation gives -1.3967 eV per atom. Its space-group type is I4_1/amd, No. 141. The offset from the most stable computed form comes out at 0 meV/atom. The value obtained for the volume is 25.327 Å³ per atom. The mass density is 3.88 g/cm³. As for the total moment: 0.000 Bohr magnetons per cell.

abc: 7.943 7.943 7.943
angles: 119.96 119.96 90.07
Sites, in units of the cell vectors:
Y 0.000 0.000 0.000
Y 0.000 0.000 0.500
Y 0.000 0.500 0.000
Y 0.500 0.000 0.500
Ag 0.375 0.625 0.750
Ag 0.625 0.375 0.250
S 0.231 0.244 0.987
S 0.243 0.756 0.487
S 0.244 0.231 0.487
S 0.244 0.757 0.013
S 0.756 0.243 0.987
S 0.756 0.769 0.513
S 0.757 0.244 0.513
S 0.769 0.756 0.013

***

Entry from Alexandria: crystalline Sm8Sn5Bi at its relaxed geometry (PBE-GGA).

Calculated values
As for the total energy: -5.16 eV per atom. The value obtained for the formation energy is -0.761 eV per atom. Its space-group type is I-4, No. 82. The value obtained for the volume is 30.650 Å³ per atom. The mass density is 7.76 g/cm³. As for the total moment: 0.000 Bohr magnetons per cell.

abc: 8.230 8.230 8.230
angles: 109.45 109.45 109.51
Sites, in units of the cell vectors:
Sm 0.126 0.731 0.747
Sm 0.127 0.237 0.748
Sm 0.269 0.017 0.395
Sm 0.490 0.379 0.252
Sm 0.621 0.873 0.110
Sm 0.621 0.874 0.605
Sm 0.763 0.510 0.890
Sm 0.983 0.379 0.253
Sn 0.247 0.623 0.124
Sn 0.377 0.501 0.624
Sn 0.499 0.123 0.876
Sn 0.750 0.250 0.500
Sn 0.877 0.753 0.376
Bi 0.000 0.000 0.000

***

Please write out number 9 again, unchanged.
Entry from Alexandria: crystalline ZnSbW2 at its relaxed geometry (PBE-GGA).

Calculated values
As for the total energy: -7.21 eV per atom. For the raw formation energy, the calculation gives 0.6154 eV per atom. Its space-group type is Pmmm, No. 47. The offset from the most stable computed form comes out at 299 meV/atom. The value obtained for the volume is 17.158 Å³ per atom. The mass density is 13.42 g/cm³. As for the total moment: 0.000 Bohr magnetons per cell.

abc: 3.277 4.505 4.649
angles: 90.00 90.00 90.00
Sites, in units of the cell vectors:
Zn 0.000 0.000 0.000
Sb 0.500 0.000 0.500
W 0.000 0.500 0.500
W 0.500 0.500 0.000

***

- mass density of number 11 (Y2AgS4)?
  3.88 g/cm³

***

- Among the records above, which one has the lowest mass density?
  LiNbS2Cl

***

- Among the records above, which one has the highest total moment?
  LiAcTbEu